[1]
A plane-wave DFT calculation with GGA-PBEsol was carried out for a geometry-optimized YMnBe2Co structure.

Output
E_form = 10.10 eV/f.u.
E_tot = -4.444 eV per atom

a b c (Å): 4.7225 4.7225 4.3727
angles (deg): 90.00 90.00 90.00
Fractional positions:
Y (0.0000, 0.0000, 0.0000)
Mn (0.5000, 0.5000, 0.5000)
Be (0.0000, 0.5000, 0.0000)
Be (0.5000, 0.0000, 0.0000)
Co (0.0000, 0.0000, 0.5000)

[2]
A plane-wave DFT calculation with GGA-PBEsol was carried out for a geometry-optimized BeCoMo2 structure.

Output
E_form = 0.12 eV/f.u.
E_tot = -8.787 eV per atom

a b c (Å): 2.6261 2.6261 7.0274
angles (deg): 90.00 90.00 90.00
Fractional positions:
Be (0.0000, 0.0000, 0.0000)
Co (0.0000, 0.0000, 0.5000)
Mo (0.5000, 0.5000, 0.2425)
Mo (0.5000, 0.5000, 0.7575)

[3]
A plane-wave DFT calculation with GGA-PBEsol was carried out for a geometry-optimized BeCoMo2 structure.

Output
E_form = 0.36 eV/f.u.
E_tot = -8.729 eV per atom

a b c (Å): 4.6367 4.6367 4.6367
angles (deg): 134.85 134.85 65.76
Fractional positions:
Be (0.0000, 0.0000, 0.0000)
Co (0.5000, 0.5000, 0.0000)
Mo (0.2500, 0.7500, 0.5000)
Mo (0.7500, 0.2500, 0.5000)

[4]
A plane-wave DFT calculation with GGA-PBEsol was carried out for a geometry-optimized BeCoMo structure.

Output
E_form = 2.33 eV/f.u.
Excess energy over the best structure of this formula in the dataset = 917 meV per atom
E_tot = -7.057 eV per atom

a b c (Å): 3.8378 3.8378 3.8378
angles (deg): 60.00 60.00 60.00
Fractional positions:
Be (0.0000, 0.0000, 0.0000)
Co (0.5000, 0.5000, 0.5000)
Mo (0.2500, 0.2500, 0.2500)

[5]
A plane-wave DFT calculation with GGA-PBEsol was carried out for a geometry-optimized BeCoMo2 structure.

Output
E_form = 0.32 eV/f.u.
E_tot = -8.739 eV per atom

a b c (Å): 4.7630 4.7630 4.3539
angles (deg): 107.78 107.78 31.17
Fractional positions:
Be (0.0000, 0.0000, 0.0000)
Co (0.3096, 0.3096, 0.6967)
Mo (0.5473, 0.5473, 0.5241)
Mo (0.7496, 0.7496, 0.1545)

[6]
A plane-wave DFT calculation with GGA-PBEsol was carried out for a geometry-optimized Be2CoMo structure.

Output
E_form = 0.49 eV/f.u.
E_tot = -6.753 eV per atom

a b c (Å): 4.6708 4.6708 4.6708
angles (deg): 148.10 125.71 64.36
Fractional positions:
Be (0.2277, 0.2277, 0.0000)
Be (0.7723, 0.7723, 0.0000)
Co (0.0000, 0.5000, 0.5000)
Mo (0.5000, 0.0000, 0.5000)

[7]
A plane-wave DFT calculation with GGA-PBEsol was carried out for a geometry-optimized BeCoMo3 structure.

Output
E_form = 7.22 eV/f.u.
E_tot = -7.964 eV per atom

a b c (Å): 4.3636 4.3636 4.3636
angles (deg): 90.00 90.00 90.00
Fractional positions:
Be (0.0000, 0.0000, 0.0000)
Co (0.5000, 0.5000, 0.5000)
Mo (0.0000, 0.5000, 0.5000)
Mo (0.5000, 0.0000, 0.5000)
Mo (0.5000, 0.5000, 0.0000)

[8]
A plane-wave DFT calculation with GGA-PBEsol was carried out for a geometry-optimized BeCoMo structure.

Output
E_form = -0.42 eV/f.u.
Excess energy over the best structure of this formula in the dataset = 0 meV per atom
E_tot = -7.974 eV per atom

a b c (Å): 4.9874 4.9874 4.9874
angles (deg): 149.19 149.19 44.13
Fractional positions:
Be (0.0000, 0.0000, 0.0000)
Co (0.6252, 0.6252, 0.0000)
Mo (0.3135, 0.3135, 0.0000)

[9]
A plane-wave DFT calculation with GGA-PBEsol was carried out for a geometry-optimized BeCoMo structure.

Output
E_form = 1.64 eV/f.u.
Excess energy over the best structure of this formula in the dataset = 686 meV per atom
E_tot = -7.289 eV per atom

a b c (Å): 3.6912 3.6912 3.6912
angles (deg): 60.00 60.00 60.00
Fractional positions:
Be (0.0000, 0.0000, 0.0000)
Co (0.7500, 0.7500, 0.7500)
Mo (0.2500, 0.2500, 0.2500)

[10]
A plane-wave DFT calculation with GGA-PBEsol was carried out for a geometry-optimized BeCoN2 structure.

Output
E_tot = -6.738 eV per atom

a b c (Å): 5.9419 5.9419 5.9419
angles (deg): 24.32 24.32 24.32
Fractional positions:
Be (0.0000, 0.0000, 0.0000)
Co (0.5000, 0.5000, 0.5000)
N (0.3995, 0.3995, 0.3995)
N (0.6005, 0.6005, 0.6005)

[11]
A plane-wave DFT calculation with GGA-PBEsol was carried out for a geometry-optimized BeCo2N structure.

Output
E_tot = -6.982 eV per atom

a b c (Å): 4.8731 4.8731 4.8731
angles (deg): 97.66 97.66 137.17
Fractional positions:
Be (0.0000, 0.0000, 0.0000)
Be (0.7500, 0.2500, 0.5000)
Co (0.2641, 0.1250, 0.6391)
Co (0.3750, 0.7359, 0.8609)
Co (0.4859, 0.6250, 0.3609)
Co (0.8750, 0.5141, 0.1391)
N (0.2500, 0.7500, 0.5000)
N (0.5000, 0.5000, 0.0000)

[12]
A plane-wave DFT calculation with GGA-PBEsol was carried out for a geometry-optimized BeCoNiN2 structure.

Output
E_tot = -5.744 eV per atom

a b c (Å): 3.3954 3.3954 3.9098
angles (deg): 90.00 90.00 90.00
Fractional positions:
Be (0.0000, 0.0000, 0.0000)
Co (0.5000, 0.5000, 0.5000)
Ni (0.0000, 0.0000, 0.5000)
N (0.0000, 0.5000, 0.0000)
N (0.5000, 0.0000, 0.0000)

[13]
A plane-wave DFT calculation with GGA-PBEsol was carried out for a geometry-optimized BeCoSN2 structure.

Output
E_tot = -5.784 eV per atom

a b c (Å): 3.4360 3.4360 5.0095
angles (deg): 90.00 90.00 90.00
Fractional positions:
Be (0.0000, 0.0000, 0.0000)
Co (0.5000, 0.5000, 0.5000)
S (0.5000, 0.5000, 0.0000)
N (0.0000, 0.5000, 0.5000)
N (0.5000, 0.0000, 0.5000)

[14]
A plane-wave DFT calculation with GGA-PBEsol was carried out for a geometry-optimized NaBeCo3 structure.

Output
E_form = 11.41 eV/f.u.
Excess energy over the best structure of this formula in the dataset = 1470 meV per atom
E_tot = -3.441 eV per atom

a b c (Å): 4.1918 4.1918 4.1918
angles (deg): 90.00 90.00 90.00
Fractional positions:
Na (0.0000, 0.0000, 0.0000)
Be (0.5000, 0.5000, 0.5000)
Co (0.0000, 0.0000, 0.5000)
Co (0.0000, 0.5000, 0.0000)
Co (0.5000, 0.0000, 0.0000)

[15]
A plane-wave DFT calculation with GGA-PBEsol was carried out for a geometry-optimized NaBeCo3 structure.

Output
E_form = 4.06 eV/f.u.
Excess energy over the best structure of this formula in the dataset = 0 meV per atom
E_tot = -4.911 eV per atom

a b c (Å): 3.9773 3.9773 3.9773
angles (deg): 90.00 90.00 90.00
Fractional positions:
Na (0.0000, 0.0000, 0.0000)
Be (0.5000, 0.5000, 0.5000)
Co (0.0000, 0.5000, 0.5000)
Co (0.5000, 0.0000, 0.5000)
Co (0.5000, 0.5000, 0.0000)

Record order is preserved below.
Magnetization: 4.08; 0.00; 0.00; 0.00; 0.00; 0.00; 0.00; 0.00; 0.05; 0.00; 1.08; 2.94; 0.00; 4.42; 3.84 μB/cell